# 1
# DyZn3Pd3 (GGA-PBE, relaxed)
# Energy above the most stable polymorph in this dataset, meV per atom: 522
# DFT total energy, Ry per atom: -0.2531
# Formation energy, meV/atom: -14
data_DyZn3Pd3
_cell_length_a 6.7672
_cell_length_b 6.7672
_cell_length_c 6.7672
_cell_angle_alpha 90.00
_cell_angle_beta 90.00
_cell_angle_gamma 90.00
_symmetry_space_group_name_H-M 'P m -3 n'
_symmetry_Int_Tables_number 223
_symmetry_space_group_name_Hall '-P 4n 2 3'
loop_
_atom_site_label
_atom_site_fract_x
_atom_site_fract_y
_atom_site_fract_z
Dy1 0.0000 0.0000 0.0000
Zn1 0.0000 0.2500 0.5000
Pd1 0.0000 0.5000 0.2500

---

# 2
# Na2CdPdRh (GGA-PBE, relaxed)
# DFT total energy, Ry per atom: -0.1699
# Formation energy, meV/atom: 908
data_Na2CdPdRh
_cell_length_a 5.2561
_cell_length_b 5.2561
_cell_length_c 4.9925
_cell_angle_alpha 90.00
_cell_angle_beta 90.00
_cell_angle_gamma 90.00
_symmetry_space_group_name_H-M 'P 4/m m m'
_symmetry_Int_Tables_number 123
_symmetry_space_group_name_Hall '-P 4 2'
loop_
_atom_site_label
_atom_site_fract_x
_atom_site_fract_y
_atom_site_fract_z
Na1 0.0000 0.5000 0.0000
Cd1 0.0000 0.0000 0.0000
Pd1 0.0000 0.0000 0.5000
Rh1 0.5000 0.5000 0.5000

---

# 3
# SrBeGa3 (GGA-PBE, relaxed)
# Energy above the most stable polymorph in this dataset, meV per atom: 1463
# DFT total energy, Ry per atom: -0.1085
# Formation energy, meV/atom: 1422
data_SrBeGa3
_cell_length_a 5.9227
_cell_length_b 5.9227
_cell_length_c 5.9227
_cell_angle_alpha 90.00
_cell_angle_beta 90.00
_cell_angle_gamma 90.00
_symmetry_space_group_name_H-M 'P m -3 m'
_symmetry_Int_Tables_number 221
_symmetry_space_group_name_Hall '-P 4 2 3'
loop_
_atom_site_label
_atom_site_fract_x
_atom_site_fract_y
_atom_site_fract_z
Sr1 0.0000 0.0000 0.0000
Be1 0.5000 0.5000 0.5000
Ga1 0.0000 0.0000 0.5000

---

# 4
# Li4Hf3S8 (GGA-PBE, relaxed)
# Energy above the most stable polymorph in this dataset, meV per atom: 161
# DFT total energy, Ry per atom: -0.4444
# ΔE_f (raw), eV/atom: -1.34
data_Li4Hf3S8
_cell_length_a 10.0184
_cell_length_b 10.3259
_cell_length_c 7.2376
_cell_angle_alpha 90.00
_cell_angle_beta 133.64
_cell_angle_gamma 90.00
_symmetry_space_group_name_H-M 'C 1 2/m 1'
_symmetry_Int_Tables_number 12
loop_
_symmetry_equiv_pos_as_xyz
'x,y,z'
'-x,-y,-z'
'-x,y,-z'
'x,-y,z'
'x+1/2,y+1/2,z'
'-x+1/2,-y+1/2,-z'
'-x+1/2,y+1/2,-z'
'x+1/2,-y+1/2,z'
loop_
_atom_site_label
_atom_site_fract_x
_atom_site_fract_y
_atom_site_fract_z
Li1 0.0000 0.0000 0.0000
Li2 0.0000 0.5000 0.5000
Li3 0.2500 0.2500 0.0000
Hf1 0.0000 0.5000 0.0000
Hf2 0.2500 0.2500 0.5000
S1 0.0000 0.2492 0.0000
S2 0.0000 0.2512 0.5000
S3 0.2366 0.5000 0.9845
S4 0.2446 0.0000 0.5061

---

# 5
# La2Tl3Cd (GGA-PBE, relaxed)
# DFT total energy, Ry per atom: -0.2431
# Formation energy, meV/atom: -330
data_La2Tl3Cd
_cell_length_a 7.4269
_cell_length_b 10.4097
_cell_length_c 18.0937
_cell_angle_alpha 90.00
_cell_angle_beta 90.00
_cell_angle_gamma 90.00
_symmetry_space_group_name_H-M 'F m m m'
_symmetry_Int_Tables_number 69
_symmetry_space_group_name_Hall '-F 2 2'
loop_
_atom_site_label
_atom_site_fract_x
_atom_site_fract_y
_atom_site_fract_z
La1 0.2481 0.0000 0.0000
La2 0.2500 0.2500 0.2500
Tl1 0.0000 0.0000 0.1695
Tl2 0.0000 0.2461 0.4151
Cd1 0.0000 0.0000 0.3332

---

# 6
# Cr2NiBr (GGA-PBE, relaxed)
# Energy above the most stable polymorph in this dataset, meV per atom: 486
# DFT total energy, Ry per atom: -0.4280
# ΔE_f (raw), eV/atom: 0.85
data_Cr2NiBr
_cell_length_a 6.6678
_cell_length_b 6.6678
_cell_length_c 6.5323
_cell_angle_alpha 90.00
_cell_angle_beta 90.00
_cell_angle_gamma 90.00
_symmetry_space_group_name_H-M 'I -4 2 d'
_symmetry_Int_Tables_number 122
_symmetry_space_group_name_Hall 'I -4 2bw'
loop_
_atom_site_label
_atom_site_fract_x
_atom_site_fract_y
_atom_site_fract_z
Cr1 0.2258 0.2500 0.1250
Ni1 0.0000 0.0000 0.0000
Br1 0.0000 0.0000 0.5000